# 1
The following is a DFT calculation (PBE) of Hf6Fe16Si7 after structural relaxation.

a b c (Å): 8.050 8.050 8.050
angles (deg): 60.00 60.00 60.00
Fractional coordinates of all 29 atoms:
Hf  0.205  0.205  0.795
Hf  0.205  0.795  0.205
Hf  0.205  0.795  0.795
Hf  0.795  0.205  0.205
Hf  0.795  0.205  0.795
Hf  0.795  0.795  0.205
Fe  0.137  0.621  0.621
Fe  0.176  0.176  0.176
Fe  0.176  0.176  0.473
Fe  0.176  0.473  0.176
Fe  0.379  0.379  0.379
Fe  0.379  0.379  0.863
Fe  0.379  0.863  0.379
Fe  0.473  0.176  0.176
Fe  0.527  0.824  0.824
Fe  0.621  0.137  0.621
Fe  0.621  0.621  0.137
Fe  0.621  0.621  0.621
Fe  0.824  0.527  0.824
Fe  0.824  0.824  0.527
Fe  0.824  0.824  0.824
Fe  0.863  0.379  0.379
Si  0.000  0.000  0.500
Si  0.000  0.500  0.000
Si  0.000  0.500  0.500
Si  0.500  0.000  0.000
Si  0.500  0.000  0.500
Si  0.500  0.500  0.000
Si  0.500  0.500  0.500

Computed properties:
Uncorrected energy, Ry per atom: -0.6319

# 2
The following is a DFT calculation (PBE) of Mg2NiAu8 after structural relaxation.

a b c (Å): 7.812 7.812 7.812
angles (deg): 146.18 131.46 60.47
Fractional coordinates of all 11 atoms:
Mg  0.193  0.193  0.000
Mg  0.807  0.807  0.000
Ni  0.500  0.500  0.000
Au  0.086  0.364  0.722
Au  0.242  0.000  0.242
Au  0.323  0.823  0.500
Au  0.358  0.636  0.722
Au  0.642  0.364  0.278
Au  0.677  0.177  0.500
Au  0.758  0.000  0.758
Au  0.914  0.636  0.278

Computed properties:
Uncorrected energy, Ry per atom: -0.2515
Energy of formation, eV per atom: -0.22

# 3
The following is a DFT calculation (PBE) of Lu2OsAu after structural relaxation.

a b c (Å): 4.815 4.815 3.458
angles (deg): 90.00 90.00 90.00
Fractional coordinates of all 4 atoms:
Lu  0.000  0.500  0.000
Lu  0.500  0.000  0.000
Os  0.000  0.000  0.500
Au  0.500  0.500  0.500

Computed properties:
Uncorrected energy, Ry per atom: -0.4743
Energy of formation, eV per atom: -0.57

# 4
The following is a DFT calculation (PBE) of Ac2PaNi3Rh12 after structural relaxation.

a b c (Å): 7.874 7.874 7.874
angles (deg): 61.30 61.30 61.30
Fractional coordinates of all 18 atoms:
Ac  0.109  0.109  0.109
Ac  0.891  0.891  0.891
Pa  0.500  0.500  0.500
Ni  0.000  0.500  0.500
Ni  0.500  0.000  0.500
Ni  0.500  0.500  0.000
Rh  0.110  0.635  0.635
Rh  0.140  0.140  0.613
Rh  0.140  0.613  0.140
Rh  0.365  0.365  0.890
Rh  0.365  0.890  0.365
Rh  0.387  0.860  0.860
Rh  0.613  0.140  0.140
Rh  0.635  0.110  0.635
Rh  0.635  0.635  0.110
Rh  0.860  0.387  0.860
Rh  0.860  0.860  0.387
Rh  0.890  0.365  0.365

Computed properties:
Uncorrected energy, Ry per atom: -0.4846
Energy of formation, eV per atom: 0.25

# 5
The following is a DFT calculation (PBE) of OsPdPt2 after structural relaxation.

a b c (Å): 6.764 6.764 6.764
angles (deg): 30.78 30.78 30.78
Fractional coordinates of all 4 atoms:
Os  0.000  0.000  0.000
Pd  0.500  0.500  0.500
Pt  0.259  0.259  0.259
Pt  0.741  0.741  0.741

Computed properties:
Uncorrected energy, Ry per atom: -0.4748
Energy of formation, eV per atom: 0.67
Excess energy over the best structure of this formula in the dataset, meV/atom: 623

# 6
The following is a DFT calculation (PBE) of Ba3CCl after structural relaxation.

a b c (Å): 5.794 5.794 5.794
angles (deg): 90.00 90.00 90.00
Fractional coordinates of all 5 atoms:
Ba  0.000  0.000  0.500
Ba  0.000  0.500  0.000
Ba  0.500  0.000  0.000
C  0.000  0.000  0.000
Cl  0.500  0.500  0.500

Computed properties:
Uncorrected energy, Ry per atom: -0.2541
Excess energy over the best structure of this formula in the dataset, meV/atom: 0

# 7
The following is a DFT calculation (PBE) of ZnBiP3 after structural relaxation.

a b c (Å): 4.696 4.696 4.696
angles (deg): 90.00 90.00 90.00
Fractional coordinates of all 5 atoms:
Zn  0.000  0.000  0.000
Bi  0.500  0.500  0.500
P  0.000  0.000  0.500
P  0.000  0.500  0.000
P  0.500  0.000  0.000

Computed properties:
Uncorrected energy, Ry per atom: -0.2590
Energy of formation, eV per atom: 0.75
Excess energy over the best structure of this formula in the dataset, meV/atom: 0

# 8
The following is a DFT calculation (PBE) of YTlNi2 after structural relaxation.

a b c (Å): 3.327 3.327 6.704
angles (deg): 90.00 90.00 90.00
Fractional coordinates of all 4 atoms:
Y  0.000  0.000  0.000
Tl  0.500  0.500  0.636
Ni  0.000  0.000  0.402
Ni  0.500  0.500  0.237

Computed properties:
Uncorrected energy, Ry per atom: -0.3788
Energy of formation, eV per atom: -0.06

# 9
The following is a DFT calculation (PBE) of Sr2In6CuIr after structural relaxation.

a b c (Å): 7.319 7.319 7.319
angles (deg): 60.00 60.00 60.00
Fractional coordinates of all 10 atoms:
Sr  0.250  0.250  0.250
Sr  0.750  0.750  0.750
In  0.245  0.245  0.755
In  0.245  0.755  0.245
In  0.245  0.755  0.755
In  0.755  0.245  0.245
In  0.755  0.245  0.755
In  0.755  0.755  0.245
Cu  0.000  0.000  0.000
Ir  0.500  0.500  0.500

Computed properties:
Uncorrected energy, Ry per atom: -0.2518
Energy of formation, eV per atom: -0.15

# 10
The following is a DFT calculation (PBE) of Y2As after structural relaxation.

a b c (Å): 5.868 5.868 5.868
angles (deg): 105.54 105.54 117.65
Fractional coordinates of all 6 atoms:
Y  0.168  0.668  0.836
Y  0.332  0.168  0.500
Y  0.668  0.832  0.500
Y  0.832  0.332  0.164
As  0.250  0.250  0.000
As  0.750  0.750  0.000

Computed properties:
Uncorrected energy, Ry per atom: -0.4947
Energy of formation, eV per atom: -0.87

# 11
The following is a DFT calculation (PBE) of Pm4NdY15 after structural relaxation.

a b c (Å): 5.085 5.085 25.337
angles (deg): 90.00 90.00 90.00
Fractional coordinates of all 20 atoms:
Pm  0.000  0.000  0.100
Pm  0.000  0.000  0.300
Pm  0.000  0.000  0.700
Pm  0.000  0.000  0.900
Nd  0.000  0.000  0.500
Y  0.000  0.500  0.000
Y  0.000  0.500  0.200
Y  0.000  0.500  0.400
Y  0.000  0.500  0.600
Y  0.000  0.500  0.800
Y  0.500  0.000  0.000
Y  0.500  0.000  0.200
Y  0.500  0.000  0.400
Y  0.500  0.000  0.600
Y  0.500  0.000  0.800
Y  0.500  0.500  0.100
Y  0.500  0.500  0.300
Y  0.500  0.500  0.500
Y  0.500  0.500  0.700
Y  0.500  0.500  0.900

Computed properties:
Uncorrected energy, Ry per atom: -0.4422
Energy of formation, eV per atom: 0.02